Material: Dy3InPd2
Method: DFT, PBE
State: relaxed

The structure in POSCAR format:
```
Dy3InPd2
1.0
-0.8297 0.6546 -3.3866
-2.8454 -2.0988 0.2914
-6.1146 8.7320 3.1859
Dy In Pd
3 1 2
Direct
0.0000 0.0000 0.0000
0.0000 0.0000 0.6902
0.0000 0.0000 0.3098
0.5000 0.5000 0.5000
0.5000 0.5000 0.8400
0.5000 0.5000 0.1600
```

energy: -5.241 eV per atom
ΔE_f: -436 kJ/mol of formula units